# LiTlW2, optimized geometry, DFT PBE
# Relative energy among the computed polymorphs: 618 meV/atom
# Crystal system: tetragonal
# Calculated volume: 17.6 Å³/atom
# ΔE_f: 1.05 eV per atom
# Total energy: -0.478 Ry/atom
data_LiTlW2
_chemical_formula_sum 'Li1 Tl1 W2'
_symmetry_space_group_name_H-M 'P 4/m m m'
_symmetry_Int_Tables_number 123
_symmetry_space_group_name_Hall '-P 4 2'
_cell_length_a 2.7748
_cell_length_b 2.7748
_cell_length_c 9.1464
_cell_angle_alpha 90.00
_cell_angle_beta 90.00
_cell_angle_gamma 90.00
loop_
_atom_site_label
_atom_site_fract_x
_atom_site_fract_y
_atom_site_fract_z
Li1 0.0000 0.0000 0.0000
Tl1 0.0000 0.0000 0.5000
W1 0.5000 0.5000 0.2394